This record from the Alexandria database describes an optimized crystal structure of Li3SiIr. The functional is PBE.

Values from the calculation:
Space-group type   Pm-3m, No. 221
ΔE_f (raw)   0.695 eV per atom
Total DFT energy (no corrections)   -3.310 eV per atom

```
Li3SiIr
1.0
-4.3617 -0.1219 1.2820
1.2855 -0.1428 4.3600
-0.0766 4.5440 0.1715
Li Ir Si
3 1 1
direct
0.0000 0.5000 0.0000
0.0000 0.0000 0.5000
0.5000 0.0000 0.0000
0.0000 0.0000 0.0000
0.5000 0.5000 0.5000
```



This record from the Alexandria database describes an optimized crystal structure of LiSi2Ir4. The functional is PBE.

Values from the calculation:
Space-group type   I4/mmm, No. 139
ΔE_f (raw)   0.370 eV per atom
Total DFT energy (no corrections)   -6.516 eV per atom

```
LiSi2Ir4
1.0
4.0856 0.0000 0.0000
0.0000 4.0856 0.0000
2.0428 2.0428 6.0668
Si Ir Li
2 4 1
direct
0.6235 0.6235 0.7531
0.3765 0.3765 0.2469
0.5000 0.0000 0.0000
0.0000 0.5000 0.0000
0.8089 0.8089 0.3822
0.1911 0.1911 0.6178
0.0000 0.0000 0.0000
```



This record from the Alexandria database describes an optimized crystal structure of Li2SiIr4. The functional is PBE.

Values from the calculation:
Space-group type   I4/mmm, No. 139
ΔE_f (raw)   0.708 eV per atom
Total DFT energy (no corrections)   -5.677 eV per atom

```
Li2SiIr4
1.0
-4.1568 1.3713 -0.0046
-1.3318 -4.0334 1.0571
-2.2825 0.0889 6.5258
Ir Li Si
4 2 1
direct
0.0000 0.5000 0.0000
0.8207 0.8207 0.3586
0.1793 0.1793 0.6414
0.5000 0.0000 0.0000
0.6211 0.6211 0.7577
0.3789 0.3789 0.2423
0.0000 0.0000 0.0000
```



This record from the Alexandria database describes an optimized crystal structure of LiSi2Ir. The functional is PBE.

Values from the calculation:
Space-group type   Pmmm, No. 47
ΔE_f (raw)   -0.233 eV per atom
Total DFT energy (no corrections)   -5.638 eV per atom

```
LiSi2Ir
1.0
-2.2063 1.6583 0.4545
-1.0140 -0.4088 -3.4312
-2.8504 -4.1589 1.3379
Ir Si Li
1 2 1
direct
0.5000 0.5000 0.2500
0.0000 0.0000 0.5035
0.0000 0.0000 0.9965
0.5000 0.5000 0.7500
```



This record from the Alexandria database describes an optimized crystal structure of LiSiIr3. The functional is PBE.

Values from the calculation:
Space-group type   Pm-3m, No. 221
ΔE_f (raw)   0.806 eV per atom
Total DFT energy (no corrections)   -5.978 eV per atom

```
LiSiIr3
1.0
4.0960 0.0000 0.0000
0.0000 4.0960 0.0000
0.0000 0.0000 4.0960
Ir Si Li
3 1 1
direct
0.0000 0.0000 0.5000
0.0000 0.5000 0.0000
0.5000 0.0000 0.0000
0.5000 0.5000 0.5000
0.0000 0.0000 0.0000
```



This record from the Alexandria database describes an optimized crystal structure of Li2SiIr. The functional is PBE.

Values from the calculation:
Space-group type   Immm, No. 71
ΔE_f (raw)   -0.417 eV per atom
Total DFT energy (no corrections)   -4.945 eV per atom

```
Li2SiIr
1.0
-2.4267 1.3769 -4.2818
-3.6959 -2.8591 -2.0698
1.6660 2.5629 4.0956
Li Si Ir
2 1 1
direct
0.5000 0.5000 0.0000
0.0000 0.0000 0.0000
0.7500 0.2500 0.5000
0.2500 0.7500 0.5000
```



This record from the Alexandria database describes an optimized crystal structure of Li2SiIr. The functional is PBE.

Values from the calculation:
Space-group type   P4mm, No. 99
ΔE_f (raw)   -0.406 eV per atom
Total DFT energy (no corrections)   -4.934 eV per atom

```
Li2SiIr
1.0
-0.2729 2.6231 -1.4512
-0.2636 -1.4726 -2.6124
-6.1241 -0.2251 0.7447
Si Li Ir
1 2 1
direct
0.0000 0.0000 0.5256
0.0000 0.0000 0.9864
0.5000 0.5000 0.2653
0.5000 0.5000 0.7226
```



This record from the Alexandria database describes an optimized crystal structure of Li2SiIr. The functional is PBE.

Values from the calculation:
Space-group type   Cm, No. 8
ΔE_f (raw)   -0.443 eV per atom
Total DFT energy (no corrections)   -4.971 eV per atom

```
Li2SiIr
1.0
-3.3105 2.6287 -1.5870
-3.6861 -0.1356 -2.6042
-3.7162 -0.4683 2.6449
Si Li Ir
1 2 1
direct
0.5098 0.5098 0.3989
0.9978 0.9978 0.9488
0.7570 0.7570 0.8094
0.2355 0.2355 0.3428
```



This record from the Alexandria database describes an optimized crystal structure of Li2Si4Ir3. The functional is PBE.

Values from the calculation:
Space-group type   Fmmm, No. 69
ΔE_f (raw)   -0.246 eV per atom
Total DFT energy (no corrections)   -6.036 eV per atom

```
Li2Si4Ir3
1.0
5.4158 0.0001 0.0000
-2.5169 4.7954 0.0000
-1.4494 -2.3977 5.7055
Ir Si Li
3 4 2
direct
0.0000 0.5000 0.0000
0.5000 0.0000 0.0000
0.0000 0.0000 0.0000
0.0195 0.6588 0.6783
0.3412 0.9805 0.3217
0.6588 0.0195 0.6783
0.9805 0.3412 0.3217
0.6110 0.6110 0.2220
0.3890 0.3890 0.7780
```



This record from the Alexandria database describes an optimized crystal structure of LiSi2Ir. The functional is PBE.

Values from the calculation:
Space-group type   Pm, No. 6
ΔE_f (raw)   -0.269 eV per atom
Total DFT energy (no corrections)   -5.675 eV per atom

```
LiSi2Ir
1.0
4.0492 0.0000 0.0000
0.0000 2.8900 0.0117
0.0000 1.4061 4.6197
Si Ir Li
2 1 1
direct
0.0000 0.1965 0.9807
0.5000 0.0481 0.2802
0.0000 0.4684 0.4418
0.5000 0.7870 0.7973
```



This record from the Alexandria database describes an optimized crystal structure of LiSi2Ir. The functional is PBE.

Values from the calculation:
Space-group type   Pmm2, No. 25
ΔE_f (raw)   -0.294 eV per atom
Total DFT energy (no corrections)   -5.699 eV per atom

```
LiSi2Ir
1.0
2.9162 0.0000 0.0000
0.0000 3.5399 0.0000
0.0000 0.0000 5.0595
Si Ir Li
2 1 1
direct
0.5000 0.5000 0.2682
0.0000 0.0000 0.9857
0.0000 0.0000 0.4832
0.5000 0.5000 0.7629
```



This record from the Alexandria database describes an optimized crystal structure of Li2SiIr. The functional is PBE.

Values from the calculation:
Space-group type   R-3m, No. 166
ΔE_f (raw)   -0.125 eV per atom
Total DFT energy (no corrections)   -4.653 eV per atom

```
Li2SiIr
1.0
8.9040 0.0003 0.0002
8.4979 2.6582 0.0002
8.4979 1.2982 2.3196
Li Si Ir
2 1 1
direct
0.9998 0.9998 0.9998
0.5002 0.5002 0.5002
0.2500 0.2500 0.2500
0.7500 0.7500 0.7500
```



This record from the Alexandria database describes an optimized crystal structure of LiSmSiIr. The functional is PBE.

Values from the calculation:
Space-group type   Pmmm, No. 47
ΔE_f (raw)   -0.096 eV per atom
Total DFT energy (no corrections)   -5.325 eV per atom

```
LiSmSiIr
1.0
-1.0935 3.6952 -1.4242
-4.3536 -0.9454 0.8897
0.4682 1.7303 4.1300
Ir Li Si Sm
1 1 1 1
direct
0.0000 0.0000 0.0000
0.0000 0.0000 0.5000
0.0000 0.5000 0.0000
0.5000 0.5000 0.5000
```



This record from the Alexandria database describes an optimized crystal structure of LiSm2Si4Ir3. The functional is PBE.

Values from the calculation:
Space-group type   P-4m2, No. 115
ΔE_f (raw)   -0.904 eV per atom
Total DFT energy (no corrections)   -6.866 eV per atom

```
LiSm2Si4Ir3
1.0
4.2056 0.0000 0.0000
0.0000 4.2056 0.0000
0.0000 0.0000 9.7981
Ir Li Si Sm
3 1 4 2
direct
0.0000 0.0000 0.5000
0.0000 0.5000 0.1252
0.5000 0.0000 0.8748
0.5000 0.5000 0.5000
0.5000 0.0000 0.6305
0.0000 0.5000 0.3695
0.0000 0.0000 0.0000
0.5000 0.5000 0.0000
0.5000 0.0000 0.2457
0.0000 0.5000 0.7543
```



This record from the Alexandria database describes an optimized crystal structure of Sr2LiSi4Ir3. The functional is PBE.

Values from the calculation:
Space-group type   P-4m2, No. 115
ΔE_f (raw)   -0.670 eV per atom
Total DFT energy (no corrections)   -6.025 eV per atom

```
Sr2LiSi4Ir3
1.0
4.3170 0.0000 0.0000
0.0000 4.3170 0.0000
0.0000 0.0000 9.7204
Si Sr Li Ir
4 2 1 3
direct
0.0000 0.5000 0.3764
0.5000 0.0000 0.6236
0.0000 0.0000 0.0000
0.5000 0.5000 0.0000
0.5000 0.0000 0.2505
0.0000 0.5000 0.7495
0.5000 0.5000 0.5000
0.5000 0.0000 0.8758
0.0000 0.5000 0.1242
0.0000 0.0000 0.5000
```



This record from the Alexandria database describes an optimized crystal structure of SrLi2SiIr2. The functional is PBE.

Values from the calculation:
Space-group type   P4/mmm, No. 123
ΔE_f (raw)   -0.215 eV per atom
Total DFT energy (no corrections)   -4.991 eV per atom

```
SrLi2SiIr2
1.0
-0.9986 -2.5168 3.6255
-1.8657 -3.1280 -2.6853
5.4072 -2.8220 -0.4696
Li Si Ir Sr
2 1 2 1
direct
0.5000 0.5000 0.2249
0.5000 0.5000 0.7751
0.0000 0.0000 0.0000
0.5000 0.0000 0.0000
0.0000 0.5000 0.0000
0.0000 0.0000 0.5000
```



This record from the Alexandria database describes an optimized crystal structure of Sr2LiSiIr. The functional is PBE.

Values from the calculation:
Space-group type   P4/mmm, No. 123
ΔE_f (raw)   -0.218 eV per atom
Total DFT energy (no corrections)   -4.130 eV per atom

```
Sr2LiSiIr
1.0
5.9182 0.0000 0.0000
0.0000 5.9182 0.0000
0.0000 0.0000 4.6001
Si Li Sr Ir
1 1 2 1
direct
0.0000 0.0000 0.5000
0.5000 0.5000 0.5000
0.0000 0.5000 0.0000
0.5000 0.0000 0.0000
0.0000 0.0000 0.0000
```



This record from the Alexandria database describes an optimized crystal structure of SrLiSiIr. The functional is PBE.

Values from the calculation:
Space-group type   P4/nmm, No. 129
ΔE_f (raw)   -0.501 eV per atom
Total DFT energy (no corrections)   -4.971 eV per atom

```
SrLiSiIr
1.0
4.1061 0.0000 0.0000
0.0000 4.1061 0.0000
0.0000 0.0000 11.8205
Li Sr Si Ir
2 2 2 2
direct
0.7500 0.2500 0.5000
0.2500 0.7500 0.5000
0.2500 0.2500 0.7693
0.7500 0.7500 0.2307
0.7500 0.7500 0.8941
0.2500 0.2500 0.1059
0.7500 0.2500 0.0000
0.2500 0.7500 0.0000
```



This record from the Alexandria database describes an optimized crystal structure of LiTaSiIr. The functional is PBE.

Values from the calculation:
Space-group type   F-43m, No. 216
ΔE_f (raw)   -0.367 eV per atom
Total DFT energy (no corrections)   -7.380 eV per atom

```
LiTaSiIr
1.0
-3.4601 0.5369 -2.5073
-2.9135 -3.1518 -0.3529
-3.8960 0.4602 1.7765
Li Ta Si Ir
1 1 1 1
direct
0.7500 0.7500 0.7500
0.0000 0.0000 0.0000
0.5000 0.5000 0.5000
0.2500 0.2500 0.2500
```



This record from the Alexandria database describes an optimized crystal structure of LiSi2TcIr. The functional is PBE.

Values from the calculation:
Space-group type   P4/mmm, No. 123
ΔE_f (raw)   0.972 eV per atom
Total DFT energy (no corrections)   -5.426 eV per atom

```
LiSi2TcIr
1.0
-2.9732 0.1573 3.3250
2.7115 -2.1458 2.5262
1.7589 3.8593 1.3903
Li Si Ir Tc
1 2 1 1
direct
0.0000 0.5000 0.0000
0.5000 0.0000 0.0000
0.0000 0.0000 0.5000
0.5000 0.5000 0.5000
0.0000 0.0000 0.0000
```



This record from the Alexandria database describes an optimized crystal structure of LiSiTcIr. The functional is PBE.

Values from the calculation:
Space-group type   F-43m, No. 216
ΔE_f (raw)   -0.348 eV per atom
Total DFT energy (no corrections)   -6.989 eV per atom

```
LiSiTcIr
1.0
-1.3617 -3.8451 -0.7130
2.4254 -2.7255 -1.9586
1.6268 -3.1912 2.0777
Li Tc Si Ir
1 1 1 1
direct
0.7500 0.7500 0.7500
0.5000 0.5000 0.5000
0.2500 0.2500 0.2500
0.0000 0.0000 0.0000
```



This record from the Alexandria database describes an optimized crystal structure of LiThSi2Ir. The functional is PBE.

Values from the calculation:
Space-group type   I-4m2, No. 119
ΔE_f (raw)   -0.813 eV per atom
Total DFT energy (no corrections)   -6.621 eV per atom

```
LiThSi2Ir
1.0
4.1193 0.0000 0.0000
0.0000 4.1193 0.0000
-2.0596 -2.0596 5.1126
Si Th Li Ir
2 1 1 1
direct
0.3798 0.3798 0.7597
0.6202 0.6202 0.2403
0.0000 0.0000 0.0000
0.7500 0.2500 0.5000
0.2500 0.7500 0.5000
```



This record from the Alexandria database describes an optimized crystal structure of LiTh2SiIr6. The functional is PBE.

Values from the calculation:
Space-group type   Immm, No. 71
ΔE_f (raw)   -0.376 eV per atom
Total DFT energy (no corrections)   -7.911 eV per atom

```
LiTh2SiIr6
1.0
-2.4097 -4.8425 3.1861
5.7180 -1.4215 2.1634
0.9802 -0.4804 6.1779
Ir Th Si Li
6 2 1 1
direct
0.2552 0.7449 0.0000
0.2548 0.2548 0.4899
0.2550 0.2549 0.0005
0.7450 0.7451 0.9995
0.7448 0.2551 0.0000
0.7452 0.7452 0.5101
0.7499 0.2503 0.4999
0.2501 0.7497 0.5001
0.0000 0.0000 0.0000
0.5000 0.5000 0.0000
```



This record from the Alexandria database describes an optimized crystal structure of LiTh2Si4Ir3. The functional is PBE.

Values from the calculation:
Space-group type   P-4m2, No. 115
ΔE_f (raw)   -0.942 eV per atom
Total DFT energy (no corrections)   -7.445 eV per atom

```
LiTh2Si4Ir3
1.0
4.2342 0.0000 0.0000
0.0000 4.2342 0.0000
0.0000 0.0000 9.8318
Ir Si Th Li
3 4 2 1
direct
0.0000 0.0000 0.5000
0.5000 0.0000 0.8762
0.0000 0.5000 0.1238
0.0000 0.0000 0.0000
0.0000 0.5000 0.3695
0.5000 0.5000 0.0000
0.5000 0.0000 0.6305
0.0000 0.5000 0.7503
0.5000 0.0000 0.2497
0.5000 0.5000 0.5000
```



This record from the Alexandria database describes an optimized crystal structure of LiThSi2Ir2. The functional is PBE.

Values from the calculation:
Space-group type   P-3m1, No. 164
ΔE_f (raw)   -0.841 eV per atom
Total DFT energy (no corrections)   -7.158 eV per atom

```
LiThSi2Ir2
1.0
-2.2455 3.2857 -1.3394
-0.5673 -3.7798 -1.7389
-4.7617 -1.3896 4.5741
Li Ir Si Th
1 2 2 1
direct
0.0000 0.0000 0.5000
0.6667 0.3333 0.2926
0.3333 0.6667 0.7074
0.6667 0.3333 0.6704
0.3333 0.6667 0.3296
0.0000 0.0000 0.0000
```



This record from the Alexandria database describes an optimized crystal structure of LiTmSi2Ir. The functional is PBE.

Values from the calculation:
Space-group type   I-4m2, No. 119
ΔE_f (raw)   -0.770 eV per atom
Total DFT energy (no corrections)   -5.989 eV per atom

```
LiTmSi2Ir
1.0
4.0049 0.0000 0.0000
0.0000 4.0049 0.0000
-2.0025 -2.0025 5.0575
Si Ir Li Tm
2 1 1 1
direct
0.3832 0.3832 0.7663
0.6168 0.6168 0.2337
0.7500 0.2500 0.5000
0.2500 0.7500 0.5000
0.0000 0.0000 0.0000
```



This record from the Alexandria database describes an optimized crystal structure of LiTmSiIr. The functional is PBE.

Values from the calculation:
Space-group type   F-43m, No. 216
ΔE_f (raw)   -0.629 eV per atom
Total DFT energy (no corrections)   -5.796 eV per atom

```
LiTmSiIr
1.0
-2.6134 3.6493 0.2877
-3.7456 -0.1068 2.4877
-0.2103 2.3177 3.8488
Si Tm Ir Li
1 1 1 1
direct
0.2500 0.2500 0.2500
0.7500 0.7500 0.7500
0.0000 0.0000 0.0000
0.5000 0.5000 0.5000
```